# 1
Below is Ac2SbO6 after structural relaxation, with properties calculated at the GGA-PBE level.

Cell and atoms, written as extended XYZ:
```
18
Lattice="5.886 0.000 0.000 0.000 6.537 0.000 -5.011 0.000 8.069" Properties=species:S:1:pos:R:3 pbc="T T T"
Ac 0.008 0.549 2.004
Ac -2.498 2.719 6.038
Ac 3.373 3.817 2.031
Ac 0.867 5.987 6.065
Sb 2.943 0.000 0.000
Sb 0.437 3.268 4.035
O -3.787 0.956 7.672
O -1.282 2.312 3.637
O -2.931 4.795 7.472
O -0.425 5.010 3.438
O -1.450 0.408 6.226
O 1.056 2.860 2.191
O -0.181 3.676 5.878
O 2.325 6.128 1.843
O 1.300 1.527 4.631
O 3.805 1.741 0.597
O 2.156 4.224 4.432
O 4.662 5.580 0.397
```

Summary:
E_tot in eV/atom: -7.11
Size of the total moment in μB per formula unit: 1.07
Symmetry: P2_1/c (14)
Energy above the lowest structure with this stoichiometry in eV per atom: 0.000

***

# 2
Below is AcSbO after structural relaxation, with properties calculated at the GGA-PBE level.

Cell and atoms, written as extended XYZ:
```
3
Lattice="4.044 0.000 0.000 -2.022 3.503 0.000 0.000 0.000 6.185" Properties=species:S:1:pos:R:3 pbc="T T T"
Ac 0.000 0.000 0.000
Sb 0.000 2.335 3.092
O 2.022 1.168 0.000
```

Summary:
E_tot in eV/atom: -6.17
Size of the total moment in μB per formula unit: 0.00
Symmetry: P-6m2 (187)
Energy above the lowest structure with this stoichiometry in eV per atom: 0.450

***

# 3
Below is Ac2SbO2 after structural relaxation, with properties calculated at the GGA-PBE level.

Cell and atoms, written as extended XYZ:
```
5
Lattice="-2.099 2.099 7.280 2.099 -2.099 7.280 2.099 2.099 -7.280" Properties=species:S:1:pos:R:3 pbc="T T T"
Ac 0.000 0.000 2.347
Ac 0.000 0.000 12.213
Sb 0.000 0.000 7.280
O 2.099 0.000 3.640
O 0.000 2.099 3.640
```

Summary:
E_tot in eV/atom: -7.09
Size of the total moment in μB per formula unit: 0.00
Symmetry: I4/mmm (139)
Energy above the lowest structure with this stoichiometry in eV per atom: 0.000

***

# 4
Below is Ac2SbO2 after structural relaxation, with properties calculated at the GGA-PBE level.

Cell and atoms, written as extended XYZ:
```
10
Lattice="3.890 -5.507 0.000 3.890 5.507 0.000 -3.880 0.000 5.858" Properties=species:S:1:pos:R:3 pbc="T T T"
Ac 0.980 4.889 4.393
Ac 2.920 2.131 1.464
Ac 0.980 -2.131 4.393
Ac 2.920 -4.889 1.464
Sb 0.980 1.372 4.393
Sb 2.920 -1.372 1.464
O 0.972 1.378 0.062
O -0.968 -1.378 2.990
O 4.868 1.378 2.867
O 2.928 -1.378 5.796
```

Summary:
E_tot in eV/atom: -6.93
Size of the total moment in μB per formula unit: 0.00
Symmetry: C2/c (15)
Energy above the lowest structure with this stoichiometry in eV per atom: 0.153

***

# 5
Below is AcSbO6 after structural relaxation, with properties calculated at the GGA-PBE level.

Cell and atoms, written as extended XYZ:
```
8
Lattice="3.589 2.072 2.532 -3.589 2.072 2.532 0.000 -4.144 2.532" Properties=species:S:1:pos:R:3 pbc="T T T"
Ac 0.000 0.000 0.000
Sb 0.000 0.000 3.798
O 0.000 -1.527 2.508
O -1.322 0.763 2.508
O -1.322 -0.763 5.089
O 1.322 0.763 2.508
O 1.322 -0.763 5.089
O 0.000 1.527 5.089
```

Summary:
E_tot in eV/atom: -5.97
Size of the total moment in μB per formula unit: 4.01
Symmetry: R-3m (166)

***

# 6
Below is Ac2Sb3O10 after structural relaxation, with properties calculated at the GGA-PBE level.

Cell and atoms, written as extended XYZ:
```
30
Lattice="9.249 -2.947 0.000 9.249 2.947 0.000 -3.252 0.000 7.825" Properties=species:S:1:pos:R:3 pbc="T T T"
Ac 1.639 0.000 1.714
Ac 1.111 0.000 6.359
Ac 14.135 0.000 1.466
Ac 13.607 0.000 6.112
Sb 7.623 1.418 3.913
Sb 4.366 0.000 3.899
Sb 7.646 0.000 0.196
Sb 7.601 0.000 7.629
Sb 10.881 0.000 3.926
Sb 7.623 -1.418 3.913
O 2.999 1.473 3.913
O -1.531 0.000 5.248
O 6.306 1.455 0.002
O 5.581 1.580 3.957
O 4.219 0.000 1.968
O 9.249 1.341 0.000
O 9.666 1.580 3.868
O 4.193 0.000 5.906
O 8.940 1.455 7.823
O 7.666 0.000 2.172
O 2.999 -1.473 3.913
O 7.580 0.000 5.654
O 6.306 -1.455 0.002
O 11.054 0.000 1.919
O 5.581 -1.580 3.957
O 9.249 -1.341 0.000
O 11.027 0.000 5.857
O 9.666 -1.580 3.868
O 8.940 -1.455 7.823
O 16.778 0.000 2.577
```

Summary:
E_tot in eV/atom: -6.76
Size of the total moment in μB per formula unit: 0.00
Symmetry: C2/m (12)

***

# 7
Below is AcSb6O12 after structural relaxation, with properties calculated at the GGA-PBE level.

Cell and atoms, written as extended XYZ:
```
19
Lattice="5.778 3.336 2.924 -5.778 3.336 2.924 0.000 -6.672 2.924" Properties=species:S:1:pos:R:3 pbc="T T T"
Ac 0.000 0.000 0.000
Sb 0.000 -2.241 2.664
Sb -1.941 1.120 2.664
Sb -1.941 -1.120 6.108
Sb 1.941 1.120 2.664
Sb 1.941 -1.120 6.108
Sb 0.000 2.241 6.108
O -1.368 -0.790 2.004
O -2.265 -3.924 4.386
O -4.531 0.000 4.386
O 1.368 -0.790 2.004
O 0.000 1.579 2.004
O 2.265 -3.924 4.386
O -2.265 3.924 4.386
O 0.000 -1.579 6.768
O -1.368 0.790 6.768
O 4.531 0.000 4.386
O 2.265 3.924 4.386
O 1.368 0.790 6.768
```

Summary:
E_tot in eV/atom: -5.86
Size of the total moment in μB per formula unit: 0.00
Symmetry: R-3m (166)

***

# 8
Below is Ac6SbO12 after structural relaxation, with properties calculated at the GGA-PBE level.

Cell and atoms, written as extended XYZ:
```
19
Lattice="5.369 3.100 3.426 -5.369 3.100 3.426 0.000 -6.200 3.426" Properties=species:S:1:pos:R:3 pbc="T T T"
Ac -3.715 -1.187 5.266
Ac -0.830 -3.811 5.012
Ac -2.886 2.624 5.012
Ac 2.886 -2.624 5.266
Ac 0.830 3.811 5.266
Ac 3.715 1.187 5.012
Sb 0.000 0.000 5.139
O -4.566 0.971 4.391
O -3.124 -3.468 5.886
O -1.192 -1.288 4.054
O 1.442 -4.439 4.391
O -0.520 1.676 4.054
O -1.711 0.388 6.224
O 1.711 -0.388 4.054
O 0.520 -1.676 6.224
O -1.442 4.439 5.886
O 1.192 1.288 6.224
O 3.124 3.468 4.391
O 4.565 -0.971 5.886
```

Summary:
E_tot in eV/atom: -7.60
Size of the total moment in μB per formula unit: 1.09
Symmetry: R-3 (148)

***

Number 1: formation energy (no corrections) -2431 meV/atom. Number 2: formation energy (no corrections) -1772 meV/atom. Number 3: formation energy (no corrections) -2635 meV/atom. Number 4: formation energy (no corrections) -2482 meV/atom. Number 5: formation energy (no corrections) -1225 meV/atom. Number 6: formation energy (no corrections) -2078 meV/atom. Number 7: formation energy (no corrections) -1207 meV/atom. Number 8: formation energy (no corrections) -2952 meV/atom.